{
  "formula": "Ac3Zn3Ga2",
  "functional": "PBE",
  "state": "optimized geometry",
  "delta_e_f_ev_per_atom": -0.4019,
  "total_magnetization_mub_per_fu": 0.00,
  "lattice": [[-0.376, 0.169, 4.709], [1.701, -5.535, -2.038], [15.104, 4.255, 1.052]],
  "species": ["Ga", "Ga", "Ga", "Ga", "Zn", "Zn", "Zn", "Zn", "Zn", "Zn", "Ac", "Ac", "Ac", "Ac", "Ac", "Ac"],
  "fractional_positions": [[0.196, 0.393, 0.101], [0.804, 0.607, 0.601], [0.804, 0.607, 0.899], [0.196, 0.393, 0.399], [0.385, 0.770, 0.963], [0.385, 0.770, 0.537], [0.615, 0.230, 0.037], [0.684, 0.368, 0.750], [0.316, 0.632, 0.250], [0.615, 0.230, 0.463], [0.609, 0.218, 0.250], [0.391, 0.782, 0.750], [0.897, 0.794, 0.396], [0.897, 0.794, 0.104], [0.103, 0.206, 0.604], [0.103, 0.206, 0.896]]
}

---

{
  "formula": "Mn3PRu",
  "functional": "PBE",
  "state": "optimized geometry",
  "relative_energy_kcal_per_mol_atoms": 15.89,
  "delta_e_f_ev_per_atom": 1.2667,
  "total_magnetization_mub_per_fu": 11.83,
  "lattice": [[4.676, 0.000, 0.000], [0.000, 4.676, 0.000], [0.000, 0.000, 4.676]],
  "species": ["P", "Mn", "Mn", "Mn", "Ru"],
  "fractional_positions": [[0.500, 0.500, 0.500], [0.000, 0.000, 0.500], [0.000, 0.500, 0.000], [0.500, 0.000, 0.000], [0.000, 0.000, 0.000]]
}

---

{
  "formula": "AcAu2Br8",
  "functional": "PBE",
  "state": "optimized geometry",
  "total_energy_ev_per_cell": -32.58,
  "total_magnetization_mub_per_fu": 0.00,
  "lattice": [[7.534, 0.000, 0.000], [0.000, 7.534, 0.000], [-3.767, -3.767, 6.507]],
  "species": ["Br", "Br", "Br", "Br", "Br", "Br", "Br", "Br", "Au", "Au", "Ac"],
  "fractional_positions": [[0.057, 0.560, 0.770], [0.560, 0.714, 0.770], [0.440, 0.943, 0.230], [0.286, 0.440, 0.230], [0.943, 0.790, 0.230], [0.790, 0.286, 0.230], [0.210, 0.057, 0.770], [0.714, 0.210, 0.770], [0.750, 0.250, 0.500], [0.250, 0.750, 0.500], [0.500, 0.500, 0.000]]
}

---

{
  "formula": "TcOsPtRh3",
  "functional": "PBE",
  "state": "optimized geometry",
  "delta_e_f_ev_per_atom": -0.0870,
  "total_magnetization_mub_per_fu": 0.00,
  "lattice": [[3.852, 0.000, 0.000], [-1.926, 5.831, 0.000], [0.000, 0.000, 7.720]],
  "species": ["Os", "Os", "Tc", "Tc", "Rh", "Rh", "Rh", "Rh", "Rh", "Rh", "Pt", "Pt"],
  "fractional_positions": [[0.499, 0.998, 0.250], [0.501, 0.002, 0.750], [0.000, 0.000, 0.500], [0.000, 0.000, 0.000], [0.160, 0.320, 0.750], [0.661, 0.321, 0.999], [0.840, 0.680, 0.250], [0.661, 0.321, 0.501], [0.339, 0.679, 0.001], [0.339, 0.679, 0.499], [0.164, 0.327, 0.250], [0.836, 0.673, 0.750]]
}

---

{
  "formula": "Ag2WS4",
  "functional": "PBE",
  "state": "optimized geometry",
  "total_energy_ev_per_cell": -147.59,
  "total_magnetization_mub_per_fu": 0.00,
  "lattice": [[-4.253, -5.851, 1.033], [5.788, -4.471, -1.491], [3.498, -0.095, 13.860]],
  "species": ["Ag", "Ag", "Ag", "Ag", "Ag", "Ag", "Ag", "Ag", "S", "S", "S", "S", "S", "S", "S", "S", "S", "S", "S", "S", "S", "S", "S", "S", "W", "W", "W", "W"],
  "fractional_positions": [[0.654, 0.250, 0.041], [0.846, 0.750, 0.541], [0.081, 0.750, 0.109], [0.154, 0.250, 0.459], [0.419, 0.250, 0.609], [0.581, 0.750, 0.391], [0.346, 0.750, 0.959], [0.919, 0.250, 0.891], [0.337, 0.505, 0.381], [0.163, 0.005, 0.881], [0.663, 0.495, 0.619], [0.679, 0.750, 0.919], [0.910, 0.750, 0.357], [0.590, 0.250, 0.857], [0.179, 0.750, 0.581], [0.410, 0.750, 0.143], [0.337, 0.995, 0.381], [0.090, 0.250, 0.643], [0.163, 0.495, 0.881], [0.663, 0.005, 0.619], [0.321, 0.250, 0.081], [0.821, 0.250, 0.419], [0.837, 0.995, 0.119], [0.837, 0.505, 0.119], [0.816, 0.250, 0.572], [0.316, 0.250, 0.928], [0.184, 0.750, 0.428], [0.684, 0.750, 0.072]]
}

---

{
  "formula": "TmTl2",
  "functional": "PBE",
  "state": "optimized geometry",
  "delta_e_f_ev_per_atom": 0.0514,
  "total_magnetization_mub_per_fu": 0.00,
  "lattice": [[-5.152, 3.096, 1.462], [-4.550, -2.845, 3.078], [-1.148, 1.487, 5.894]],
  "species": ["Tl", "Tl", "Tl", "Tl", "Tm", "Tm"],
  "fractional_positions": [[0.625, 0.625, 0.625], [0.625, 0.125, 0.625], [0.125, 0.625, 0.625], [0.625, 0.625, 0.125], [0.250, 0.250, 0.250], [0.000, 0.000, 0.000]]
}

---

{
  "formula": "KIn2Se",
  "functional": "PBE",
  "state": "optimized geometry",
  "total_energy_ev_per_cell": -23.15,
  "total_magnetization_mub_per_fu": 0.00,
  "lattice": [[8.963, 0.000, 0.000], [0.000, 8.963, 0.000], [4.482, 4.482, 3.217]],
  "species": ["Se", "Se", "In", "In", "In", "In", "K", "K"],
  "fractional_positions": [[0.750, 0.250, 0.500], [0.000, 0.000, 0.000], [0.675, 0.125, 0.250], [0.075, 0.625, 0.250], [0.875, 0.925, 0.750], [0.375, 0.325, 0.750], [0.500, 0.500, 0.000], [0.250, 0.750, 0.500]]
}

---

{
  "formula": "SrYZr2",
  "functional": "PBE",
  "state": "optimized geometry",
  "relative_energy_kcal_per_mol_atoms": 3.48,
  "delta_e_f_ev_per_atom": 0.3805,
  "total_magnetization_mub_per_fu": 0.00,
  "lattice": [[5.935, -0.002, -0.007], [4.989, 3.214, -0.007], [0.807, 0.237, 6.280]],
  "species": ["Zr", "Zr", "Sr", "Y"],
  "fractional_positions": [[0.493, 0.493, 0.547], [0.007, 0.007, 0.953], [0.250, 0.250, 0.250], [0.750, 0.750, 0.750]]
}